No. 1
Below is a relaxed TeRu2Cl2 crystal, with properties calculated at the PBE-GGA level.

Properties
spin magnetization: 0.0000 μB per atom
ΔE_f (raw): 0.52 eV per atom
energy: -22.765 eV/cell
density of states at the Fermi level: 1.187 states/eV/atom
energy above the most stable polymorph in this dataset: 0.019 eV/atom

a b c (Å): 4.078 4.078 6.381
angles (deg): 71.36 71.36 90.00
Fractional positions:
Ru 0.399 0.399 0.203
Ru 0.601 0.601 0.797
Te 0.000 0.000 0.000
Cl 0.750 0.250 0.500
Cl 0.250 0.750 0.500


No. 2
Below is a relaxed Ca3TlCu4Cl12 crystal, with properties calculated at the PBE-GGA level.

Properties
spin magnetization: 0.0565 μB per atom
ΔE_f (raw): -1.37 eV per atom
energy: -74.271 eV/cell
density of states at the Fermi level: 0.637 states/eV/atom

a b c (Å): 8.799 8.799 8.799
angles (deg): 105.35 105.35 105.35
Site moments in Bohr magnetons follow the coordinates.
Fractional positions:
Ca 0.561 0.439 0.000  0.00
Ca 0.439 0.000 0.561  0.00
Ca 0.000 0.561 0.439  0.00
Tl 0.000 0.000 0.000  0.00
Cu 0.928 0.072 0.500  0.21
Cu 0.072 0.500 0.928  0.21
Cu 0.500 0.928 0.072  0.21
Cu 0.500 0.500 0.500  0.18
Cl 0.500 0.341 0.659  0.01
Cl 0.906 0.500 0.094  0.03
Cl 0.094 0.906 0.500  0.03
Cl 0.500 0.094 0.906  0.03
Cl 0.354 0.982 0.232  0.01
Cl 0.232 0.354 0.982  0.01
Cl 0.982 0.232 0.354  0.01
Cl 0.646 0.768 0.018  0.01
Cl 0.018 0.646 0.768  0.01
Cl 0.768 0.018 0.646  0.01
Cl 0.659 0.500 0.341  0.01
Cl 0.341 0.659 0.500  0.01


No. 3
Below is a relaxed GdPuOs crystal, with properties calculated at the PBE-GGA level.

Properties
spin magnetization: 0.7620 μB per atom
energy: -39.532 eV/cell
density of states at the Fermi level: 2.071 states/eV/atom
E_form: 37 meV/atom
energy above the most stable polymorph in this dataset: 0.000 eV/atom

a b c (Å): 3.557 3.557 5.963
angles (deg): 107.35 107.35 90.00
Site moments in Bohr magnetons follow the coordinates.
Fractional positions:
Gd 0.012 0.012 0.023  6.83
Os 0.688 0.688 0.375  0.54
Pu 0.301 0.301 0.602  -4.89


No. 4
Below is a relaxed TlPtOF2 crystal, with properties calculated at the PBE-GGA level.

Properties
spin magnetization: 0.0000 μB per atom
ΔE_f (raw): -0.95 eV per atom
energy: -21.846 eV/cell
density of states at the Fermi level: 0.490 states/eV/atom
energy above the most stable polymorph in this dataset: 0.000 eV/atom

a b c (Å): 4.679 4.679 3.781
angles (deg): 90.00 90.00 90.00
Fractional positions:
Tl 0.500 0.500 0.500
O 0.000 0.000 0.500
Pt 0.000 0.000 0.000
F 0.000 0.500 0.000
F 0.500 0.000 0.000